An optimized crystal structure of SrMnClO2, computed with GGA+U.

a = 4.0428 Å, b = 4.0428 Å, c = 4.8589 Å
α = 90.00°, β = 90.00°, γ = 90.00°
Closest atoms and distances in Å follow each position.
Positions (direct):
Sr  0.0000  0.0000  0.0000  4 Cl 2.86, 8 O 3.16
Mn  0.5000  0.5000  0.5000  4 O 2.02
Cl  0.5000  0.5000  0.0000  2 Mn 2.43
O  0.0000  0.5000  0.5000  2 Mn 2.02
O  0.5000  0.0000  0.5000  2 Mn 2.02

Calculated values
The total moment is 4.1 μB/f.u. Its excess energy over the best structure of this formula in the dataset is 40.9 kJ/mol of atoms. Its space group is P4/mmm.